# TaZn2P

Crystalline TaZn2P at its relaxed geometry (PBE, the Alexandria database).

CIF file:
```
data_TaZn2P
_space_group_name_H-M_alt 'F -4 3 m'
_space_group_IT_number 216
_space_group_name_Hall 'F -4 2 3'
_cell_length_a 6.257
_cell_length_b 6.257
_cell_length_c 6.257
_cell_angle_alpha 90.00
_cell_angle_beta 90.00
_cell_angle_gamma 90.00
loop_
_atom_site_label
_atom_site_type_symbol
_atom_site_fract_x
_atom_site_fract_y
_atom_site_fract_z
Ta1 Ta 0.000 0.000 0.000
Zn1 Zn 0.000 0.000 0.500
Zn2 Zn 0.250 0.250 0.750
P1 P 0.250 0.250 0.250
```

Values from the calculation:
The density is 9.295 g cm⁻³. For the total moment, the calculation gives 0.00 μB/atom. Its volume is 15.3 A^3/atom. The final energy is -4.69 eV/atom.

# TaZn4P

Crystalline TaZn4P at its relaxed geometry (PBE, the Alexandria database).

CIF file:
```
data_TaZn4P
_space_group_name_H-M_alt 'F -4 3 m'
_space_group_IT_number 216
_space_group_name_Hall 'F -4 2 3'
_cell_length_a 7.158
_cell_length_b 7.158
_cell_length_c 7.158
_cell_angle_alpha 90.00
_cell_angle_beta 90.00
_cell_angle_gamma 90.00
loop_
_atom_site_label
_atom_site_type_symbol
_atom_site_fract_x
_atom_site_fract_y
_atom_site_fract_z
Ta1 Ta 0.000 0.000 0.000
Zn1 Zn 0.126 0.126 0.626
P1 P 0.250 0.250 0.250
```

Values from the calculation:
The density is 8.578 g cm⁻³. For the total moment, the calculation gives 0.00 μB/atom. Its volume is 15.3 A^3/atom. The final energy is -3.38 eV/atom.

# TaZn2P2

Crystalline TaZn2P2 at its relaxed geometry (PBE, the Alexandria database).

CIF file:
```
data_TaZn2P2
_space_group_name_H-M_alt 'P 4/m b m'
_space_group_IT_number 127
_space_group_name_Hall '-P 4 2ab'
_cell_length_a 6.503
_cell_length_b 6.503
_cell_length_c 3.648
_cell_angle_alpha 90.00
_cell_angle_beta 90.00
_cell_angle_gamma 90.00
loop_
_atom_site_label
_atom_site_type_symbol
_atom_site_fract_x
_atom_site_fract_y
_atom_site_fract_z
Ta1 Ta 0.000 0.000 0.000
Zn1 Zn 0.171 0.329 0.500
P1 P 0.139 0.639 0.000
```

Values from the calculation:
The relative energy among the computed polymorphs is 0.00 kJ/mol of atoms. The density is 8.044 g cm⁻³. For the total moment, the calculation gives 0.00 μB/atom. Its volume is 15.4 A^3/atom. The final energy is -5.13 eV/atom.

# TaZnP

Crystalline TaZnP at its relaxed geometry (PBE, the Alexandria database).

CIF file:
```
data_TaZnP
_space_group_name_H-M_alt 'P -6 m 2'
_space_group_IT_number 187
_space_group_name_Hall 'P -6 2'
_cell_length_a 4.1781
_cell_length_b 4.1781
_cell_length_c 3.3875
_cell_angle_alpha 90.00
_cell_angle_beta 90.00
_cell_angle_gamma 120.00
loop_
_atom_site_label
_atom_site_type_symbol
_atom_site_fract_x
_atom_site_fract_y
_atom_site_fract_z
Ta1 Ta 0.0000 0.0000 0.0000
Zn1 Zn 0.6667 0.3333 0.5000
P1 P 0.3333 0.6667 0.0000
```

Values from the calculation:
The density is 8.993 g cm⁻³. For the total moment, the calculation gives 0.00 μB/atom. Its volume is 17.1 A^3/atom. The final energy is -6.11 eV/atom.

# TaZn2P

Crystalline TaZn2P at its relaxed geometry (PBE, the Alexandria database).

CIF file:
```
data_TaZn2P
_space_group_name_H-M_alt 'P 4 m m'
_space_group_IT_number 99
_space_group_name_Hall 'P 4 -2'
_cell_length_a 3.305
_cell_length_b 3.305
_cell_length_c 5.586
_cell_angle_alpha 90.00
_cell_angle_beta 90.00
_cell_angle_gamma 90.00
loop_
_atom_site_label
_atom_site_type_symbol
_atom_site_fract_x
_atom_site_fract_y
_atom_site_fract_z
Ta1 Ta 0.000 0.000 0.000
Zn1 Zn 0.000 0.000 0.512
Zn2 Zn 0.500 0.500 0.299
P1 P 0.500 0.500 0.802
```

Values from the calculation:
The density is 9.330 g cm⁻³. For the total moment, the calculation gives 0.00 μB/atom. Its volume is 15.3 A^3/atom. The final energy is -5.16 eV/atom.

# TaZnP2

Crystalline TaZnP2 at its relaxed geometry (PBE, the Alexandria database).

CIF file:
```
data_TaZnP2
_space_group_name_H-M_alt 'R -3 m'
_space_group_IT_number 166
_space_group_name_Hall '-R 3 2"'
_cell_length_a 3.4232
_cell_length_b 3.4232
_cell_length_c 19.7040
_cell_angle_alpha 90.00
_cell_angle_beta 90.00
_cell_angle_gamma 120.00
loop_
_atom_site_label
_atom_site_type_symbol
_atom_site_fract_x
_atom_site_fract_y
_atom_site_fract_z
Ta1 Ta 0.0000 0.0000 0.0000
Zn1 Zn 0.0000 0.0000 0.5000
P1 P 0.0000 0.0000 0.2521
```

Values from the calculation:
The density is 7.681 g cm⁻³. For the total moment, the calculation gives 0.00 μB/atom. Its volume is 16.7 A^3/atom. The final energy is -6.25 eV/atom.

# TaZn3P

Crystalline TaZn3P at its relaxed geometry (PBE, the Alexandria database).

CIF file:
```
data_TaZn3P
_space_group_name_H-M_alt 'P m -3 m'
_space_group_IT_number 221
_space_group_name_Hall '-P 4 2 3'
_cell_length_a 4.515
_cell_length_b 4.515
_cell_length_c 4.515
_cell_angle_alpha 90.00
_cell_angle_beta 90.00
_cell_angle_gamma 90.00
loop_
_atom_site_label
_atom_site_type_symbol
_atom_site_fract_x
_atom_site_fract_y
_atom_site_fract_z
Ta1 Ta 0.000 0.000 0.000
Zn1 Zn 0.000 0.500 0.500
P1 P 0.500 0.500 0.500
```

Values from the calculation:
The relative energy among the computed polymorphs is 0.00 kJ/mol of atoms. The density is 7.365 g cm⁻³. For the total moment, the calculation gives 0.00 μB/atom. Its volume is 18.4 A^3/atom. The final energy is -3.25 eV/atom.

# TaZn2P

Crystalline TaZn2P at its relaxed geometry (PBE, the Alexandria database).

CIF file:
```
data_TaZn2P
_space_group_name_H-M_alt 'I -4 m 2'
_space_group_IT_number 119
_space_group_name_Hall 'I -4 -2'
_cell_length_a 3.809
_cell_length_b 3.809
_cell_length_c 8.176
_cell_angle_alpha 90.00
_cell_angle_beta 90.00
_cell_angle_gamma 90.00
loop_
_atom_site_label
_atom_site_type_symbol
_atom_site_fract_x
_atom_site_fract_y
_atom_site_fract_z
Ta1 Ta 0.000 0.000 0.000
Zn1 Zn 0.000 0.000 0.500
Zn2 Zn 0.000 0.500 0.250
P1 P 0.000 0.500 0.750
```

Values from the calculation:
The density is 9.594 g cm⁻³. For the total moment, the calculation gives 0.00 μB/atom. Its volume is 14.8 A^3/atom. The final energy is -5.03 eV/atom.

# TaZnP3

Crystalline TaZnP3 at its relaxed geometry (PBE, the Alexandria database).

CIF file:
```
data_TaZnP3
_space_group_name_H-M_alt 'P m -3 m'
_space_group_IT_number 221
_space_group_name_Hall '-P 4 2 3'
_cell_length_a 4.483
_cell_length_b 4.483
_cell_length_c 4.483
_cell_angle_alpha 90.00
_cell_angle_beta 90.00
_cell_angle_gamma 90.00
loop_
_atom_site_label
_atom_site_type_symbol
_atom_site_fract_x
_atom_site_fract_y
_atom_site_fract_z
Ta1 Ta 0.000 0.000 0.000
Zn1 Zn 0.500 0.500 0.500
P1 P 0.000 0.500 0.500
```

Values from the calculation:
The relative energy among the computed polymorphs is 69.53 kJ/mol of atoms. The density is 6.253 g cm⁻³. For the total moment, the calculation gives 0.00 μB/atom. Its volume is 18.0 A^3/atom. The final energy is -4.69 eV/atom.

# TaZn2P

Crystalline TaZn2P at its relaxed geometry (PBE, the Alexandria database).

CIF file:
```
data_TaZn2P
_space_group_name_H-M_alt 'P 4/m m m'
_space_group_IT_number 123
_space_group_name_Hall '-P 4 2'
_cell_length_a 3.611
_cell_length_b 3.611
_cell_length_c 4.635
_cell_angle_alpha 90.00
_cell_angle_beta 90.00
_cell_angle_gamma 90.00
loop_
_atom_site_label
_atom_site_type_symbol
_atom_site_fract_x
_atom_site_fract_y
_atom_site_fract_z
Ta1 Ta 0.000 0.000 0.000
Zn1 Zn 0.000 0.500 0.500
P1 P 0.500 0.500 0.000
```

Values from the calculation:
The density is 9.416 g cm⁻³. For the total moment, the calculation gives 0.00 μB/atom. Its volume is 15.1 A^3/atom. The final energy is -4.95 eV/atom.

# ZrTaP3

Crystalline ZrTaP3 at its relaxed geometry (PBE, the Alexandria database).

CIF file:
```
data_ZrTaP3
_space_group_name_H-M_alt 'P m -3 m'
_space_group_IT_number 221
_space_group_name_Hall '-P 4 2 3'
_cell_length_a 4.746
_cell_length_b 4.746
_cell_length_c 4.746
_cell_angle_alpha 90.00
_cell_angle_beta 90.00
_cell_angle_gamma 90.00
loop_
_atom_site_label
_atom_site_type_symbol
_atom_site_fract_x
_atom_site_fract_y
_atom_site_fract_z
Zr1 Zr 0.000 0.000 0.000
Ta1 Ta 0.500 0.500 0.500
P1 P 0.000 0.500 0.500
```

Values from the calculation:
The relative energy among the computed polymorphs is 0.00 kJ/mol of atoms. The density is 5.670 g cm⁻³. For the total moment, the calculation gives 0.00 μB/atom. Its volume is 21.4 A^3/atom. The final energy is -7.09 eV/atom.

# ZrTa2P

Crystalline ZrTa2P at its relaxed geometry (PBE, the Alexandria database).

CIF file:
```
data_ZrTa2P
_space_group_name_H-M_alt 'C m m m'
_space_group_IT_number 65
_space_group_name_Hall '-C 2 2'
_cell_length_a 3.485
_cell_length_b 4.924
_cell_length_c 8.417
_cell_angle_alpha 90.00
_cell_angle_beta 90.00
_cell_angle_gamma 90.00
loop_
_atom_site_label
_atom_site_type_symbol
_atom_site_fract_x
_atom_site_fract_y
_atom_site_fract_z
Zr1 Zr 0.000 0.000 0.000
Ta1 Ta 0.000 0.500 0.290
P1 P 0.000 0.000 0.500
```

Values from the calculation:
The density is 11.131 g cm⁻³. For the total moment, the calculation gives 0.00 μB/atom. Its volume is 18.1 A^3/atom. The final energy is -9.65 eV/atom.

> Which of these has the highest final energy?

TaZn3P